Material: Ac2DyInAu6
Method: DFT, PBE
State: relaxed

Summary:
- formation energy from the elements (meV per atom) = -253
- calculated volume (Å³/atom) = 30.1

a = 7.5231 Å, b = 7.5231 Å, c = 7.5231 Å
α = 60.00°, β = 60.00°, γ = 60.00°
Last column: nearest neighbours and their distance in Å.
Sites, in units of the cell vectors:
Ac (0.2500, 0.2500, 0.2500)  12 Au 3.76
Ac (0.7500, 0.7500, 0.7500)  12 Au 3.76
Dy (0.0000, 0.0000, 0.0000)  6 Au 2.70
In (0.5000, 0.5000, 0.5000)  6 Au 2.62
Au (0.2537, 0.2537, 0.7463)  1 In 2.62, 1 Dy 2.70
Au (0.2537, 0.7463, 0.2537)  1 In 2.62, 1 Dy 2.70
Au (0.2537, 0.7463, 0.7463)  1 In 2.62, 1 Dy 2.70
Au (0.7463, 0.2537, 0.2537)  1 In 2.62, 1 Dy 2.70
Au (0.7463, 0.2537, 0.7463)  1 In 2.62, 1 Dy 2.70
Au (0.7463, 0.7463, 0.2537)  1 In 2.62, 1 Dy 2.70